An optimized crystal structure of RbTl2In. Source: Alexandria, functional GGA-PBE.

```
4
Lattice="3.983 0.000 0.000 0.000 3.983 0.000 0.000 0.000 8.765" Properties=species:S:1:pos:R:3 pbc="T T T"
Rb 0.000 0.000 0.000
Tl 1.992 1.992 2.653
Tl 1.992 1.992 6.112
In 0.000 0.000 4.383
```

The calculation puts the energy above the most stable polymorph in this dataset at 0.027 eV/atom. The raw total energy is -8.702 eV per cell.

An optimized crystal structure of RbTl2In. Source: Alexandria, functional GGA-PBE.

```
8
Lattice="7.032 0.000 0.000 0.000 5.051 0.000 -3.367 0.000 8.195" Properties=species:S:1:pos:R:3 pbc="T T T"
Rb 0.069 1.263 3.395
Rb 3.596 3.788 4.800
Tl -2.003 1.263 7.260
Tl 0.111 3.788 6.332
Tl 3.554 1.263 1.863
Tl 5.668 3.788 0.935
In 1.875 3.788 0.978
In 1.790 1.263 7.217
```

The calculation puts the energy above the most stable polymorph in this dataset at 0.000 eV/atom. The raw total energy is -17.620 eV per cell.

An optimized crystal structure of Rb3Tl5In2. Source: Alexandria, functional GGA-PBE.

```
20
Lattice="12.593 0.000 0.000 0.000 12.593 0.000 0.000 0.000 4.822" Properties=species:S:1:pos:R:3 pbc="T T T"
Rb 0.000 0.000 0.000
Rb 2.289 4.007 0.000
Rb 4.007 10.303 0.000
Rb 6.296 6.296 0.000
Rb 8.586 2.289 0.000
Rb 10.303 8.586 0.000
Tl 0.000 6.296 2.411
Tl 0.725 9.704 2.411
Tl 2.889 0.725 2.411
Tl 3.408 7.021 2.411
Tl 5.571 3.408 2.411
Tl 6.296 0.000 2.411
Tl 7.021 9.185 2.411
Tl 9.185 5.571 2.411
Tl 9.704 11.868 2.411
Tl 11.868 2.889 2.411
In 1.447 7.743 0.000
In 4.850 1.447 0.000
In 7.743 11.146 0.000
In 11.146 4.850 0.000
```

The raw total energy is -41.822 eV per cell.

An optimized crystal structure of RbTlIn2. Source: Alexandria, functional GGA-PBE.

```
8
Lattice="2.769 -6.221 0.000 2.769 6.221 0.000 0.000 0.000 7.855" Properties=species:S:1:pos:R:3 pbc="T T T"
Rb 2.769 5.163 5.892
Rb 2.769 -5.163 1.964
Tl 2.769 3.577 1.964
Tl 2.769 -3.577 5.892
In 2.769 1.520 4.381
In 2.769 1.520 7.403
In 2.769 -1.520 0.453
In 2.769 -1.520 3.475
```

The calculation puts the energy above the most stable polymorph in this dataset at 0.016 eV/atom. The raw total energy is -18.152 eV per cell.

> What is the raw total energy in the fourth record?

-18.152 eV per cell